No. 1
An optimized crystal structure of TiCu5Pd4, computed with GGA-PBE.

Values from the calculation:
total moment: 0.0 μB per cell
formation energy: -2.48 eV per formula unit
DOS at the Fermi energy: 4.5 states/eV/f.u.

Geometry as POSCAR:
```
TiCu5Pd4
1.0
4.552 0.000 0.000
1.219 5.216 0.000
1.626 1.083 5.797
Ti Cu Pd
1 5 4
Cartesian
0.000 0.000 0.000
0.610 2.608 0.000
2.902 4.757 3.476
2.913 3.310 1.116
4.485 2.989 4.681
4.496 1.542 2.320
2.203 2.203 3.548
2.196 0.760 1.177
5.202 5.539 4.620
5.194 4.096 2.249
```


No. 2
An optimized crystal structure of Ti2Cu4Pd3, computed with GGA-PBE.

Values from the calculation:
total moment: 2.1 μB per cell
formation energy: -2.15 eV per formula unit
DOS at the Fermi energy: 6.1 states/eV/f.u.
energy above the most stable polymorph in this dataset: 103.3 meV per atom

Geometry as POSCAR:
```
Ti2Cu4Pd3
1.0
6.071 -4.574 0.000
6.071 4.574 0.000
-0.696 0.000 4.624
Ti Cu Pd
4 8 6
Cartesian
2.416 1.151 1.572
2.068 -1.151 3.884
9.378 1.151 0.740
9.030 -1.151 3.052
4.625 3.271 0.961
7.169 3.271 1.351
5.156 1.173 2.207
6.638 1.173 0.104
4.808 -1.173 4.519
6.290 -1.173 2.416
4.277 -3.271 3.273
6.820 -3.271 3.663
5.549 3.576 3.468
3.388 1.030 4.193
3.736 -1.030 1.881
7.710 1.030 2.743
8.058 -1.030 0.431
5.897 -3.576 1.156
```


No. 3
An optimized crystal structure of TiCu2Pd6, computed with GGA-PBE.

Values from the calculation:
total moment: 0.0 μB per cell
formation energy: -2.84 eV per formula unit
DOS at the Fermi energy: 4.4 states/eV/f.u.

Geometry as POSCAR:
```
TiCu2Pd6
1.0
4.258 -1.987 0.000
4.258 1.987 0.000
-2.225 0.000 7.809
Ti Cu Pd
1 2 6
Cartesian
0.000 0.000 0.000
1.053 0.000 6.038
5.239 0.000 1.771
-0.672 0.000 2.493
1.863 0.000 3.477
2.646 0.000 0.827
3.645 0.000 6.983
4.428 0.000 4.332
6.963 0.000 5.316
```


No. 4
An optimized crystal structure of Ti5Cu2Pd, computed with GGA-PBE.

Values from the calculation:
total moment: 0.0 μB per cell
formation energy: -0.63 eV per formula unit
DOS at the Fermi energy: 12.5 states/eV/f.u.

Geometry as POSCAR:
```
Ti5Cu2Pd
1.0
-3.208 3.208 6.209
3.208 -3.208 6.209
3.208 3.208 -6.209
Ti Cu Pd
10 4 2
Cartesian
0.000 0.000 0.000
4.219 1.010 -1.946
1.010 2.198 -1.946
4.219 1.010 1.946
1.010 2.198 1.946
0.000 0.000 6.209
2.198 1.010 4.263
-1.010 2.198 4.263
2.198 1.010 8.156
-1.010 2.198 8.156
2.357 0.851 0.000
2.357 -0.851 6.209
0.851 4.060 0.000
0.851 2.357 6.209
0.000 0.000 3.105
0.000 0.000 9.314
```


No. 5
An optimized crystal structure of Ti2CuPd9, computed with GGA-PBE.

Values from the calculation:
total moment: 0.0 μB per cell
formation energy: -5.57 eV per formula unit
DOS at the Fermi energy: 9.0 states/eV/f.u.

Geometry as POSCAR:
```
Ti2CuPd9
1.0
3.929 0.000 0.000
0.000 3.929 0.000
0.000 0.000 11.701
Ti Cu Pd
2 1 9
Cartesian
0.000 0.000 2.037
0.000 0.000 9.664
0.000 0.000 5.850
0.000 1.965 0.000
0.000 1.965 3.877
0.000 1.965 7.824
1.965 0.000 0.000
1.965 0.000 3.877
1.965 0.000 7.824
1.965 1.965 1.935
1.965 1.965 5.850
1.965 1.965 9.765
```


No. 6
An optimized crystal structure of Ti3CuPd, computed with GGA-PBE.

Values from the calculation:
total moment: 2.0 μB per cell
formation energy: 3.92 eV per formula unit
DOS at the Fermi energy: 7.1 states/eV/f.u.
energy above the most stable polymorph in this dataset: 937.6 meV per atom

Geometry as POSCAR:
```
Ti3CuPd
1.0
4.752 0.000 0.000
0.000 4.752 0.000
0.000 0.000 4.752
Ti Cu Pd
3 1 1
Cartesian
0.000 0.000 2.376
0.000 2.376 0.000
2.376 0.000 0.000
2.376 2.376 2.376
0.000 0.000 0.000
```


No. 7
An optimized crystal structure of TiTl2CuPd, computed with GGA-PBE.

Values from the calculation:
total moment: 1.6 μB per cell
formation energy: 3.18 eV per formula unit
DOS at the Fermi energy: 4.1 states/eV/f.u.

Geometry as POSCAR:
```
TiTl2CuPd
1.0
4.921 0.000 0.000
0.000 4.921 0.000
0.000 0.000 4.788
Ti Tl Cu Pd
1 2 1 1
Cartesian
0.000 0.000 0.000
0.000 2.461 2.394
2.461 0.000 2.394
0.000 0.000 2.394
2.461 2.461 0.000
```


No. 8
An optimized crystal structure of TiTlCuPd, computed with GGA-PBE.

Values from the calculation:
total moment: 0.0 μB per cell
formation energy: -0.51 eV per formula unit
DOS at the Fermi energy: 2.5 states/eV/f.u.

Geometry as POSCAR:
```
TiTlCuPd
1.0
0.000 3.217 3.217
3.217 0.000 3.217
3.217 3.217 0.000
Ti Tl Cu Pd
1 1 1 1
Cartesian
0.000 0.000 0.000
3.217 3.217 3.217
1.609 1.609 1.609
4.826 4.826 4.826
```


No. 9
An optimized crystal structure of TmTiCuPd, computed with GGA-PBE.

Values from the calculation:
total moment: 0.9 μB per cell
formation energy: -1.35 eV per formula unit
DOS at the Fermi energy: 5.1 states/eV/f.u.

Geometry as POSCAR:
```
TmTiCuPd
1.0
0.000 3.301 3.301
3.301 0.000 3.301
3.301 3.301 0.000
Tm Ti Cu Pd
1 1 1 1
Cartesian
0.000 0.000 0.000
3.301 3.301 3.301
4.951 4.951 4.951
1.650 1.650 1.650
```


No. 10
An optimized crystal structure of Ti2Zn2Cu2Pd, computed with GGA-PBE.

Values from the calculation:
total moment: 1.1 μB per cell
formation energy: -1.51 eV per formula unit
DOS at the Fermi energy: 3.5 states/eV/f.u.

Geometry as POSCAR:
```
Ti2Zn2Cu2Pd
1.0
3.745 -2.148 0.000
3.745 2.148 0.000
-2.435 0.000 6.234
Ti Zn Cu Pd
2 2 2 1
Cartesian
0.014 0.000 1.256
5.042 0.000 4.979
0.037 0.000 3.962
5.019 0.000 2.272
2.500 0.000 0.271
2.556 0.000 5.963
2.528 0.000 3.117
```


No. 11
An optimized crystal structure of ZrTi2Cu2Pd2, computed with GGA-PBE.

Values from the calculation:
total moment: 0.0 μB per cell
formation energy: -2.01 eV per formula unit
DOS at the Fermi energy: 8.2 states/eV/f.u.

Geometry as POSCAR:
```
ZrTi2Cu2Pd2
1.0
4.587 -2.119 0.000
4.587 2.119 0.000
-0.115 0.000 5.613
Zr Ti Cu Pd
1 2 2 2
Cartesian
0.000 0.000 0.000
3.564 0.000 1.692
5.494 0.000 3.921
1.100 0.000 2.499
7.958 0.000 3.114
2.688 0.000 4.678
6.370 0.000 0.935
```